## one
TlCoI2N PBE optimized geometry; density = 5.6 g cm⁻³; magnetic moment = 3.5 μB/f.u.; space-group type = P4/mmm, No. 123
1.0
6.1735 0.0000 0.0000
0.0000 6.1735 0.0000
0.0000 0.0000 4.1563
Tl Co I N
1 1 2 1
Cartesian
0.0000 0.0000 0.0000 Tl
3.0868 3.0868 2.0781 Co
0.0000 3.0868 0.0000 I
3.0868 0.0000 0.0000 I
0.0000 0.0000 2.0781 N

## two
TlCoI2N PBE optimized geometry; density = 7.2 g cm⁻³; magnetic moment = 0.0 μB/f.u.; space-group type = P4/mmm, No. 123
1.0
5.8736 0.0000 0.0000
0.0000 5.8736 0.0000
0.0000 0.0000 3.5353
Tl Co I N
1 1 2 1
Cartesian
0.0000 0.0000 0.0000 Tl
2.9368 2.9368 1.7677 Co
0.0000 2.9368 1.7677 I
2.9368 0.0000 1.7677 I
2.9368 2.9368 0.0000 N

Most stable structure: two

## one
VCoIN2 PBE optimized geometry; density = 5.6 g cm⁻³; magnetic moment = 0.1 μB/f.u.; space-group type = P4/mmm, No. 123
1.0
3.6646 0.0000 0.0000
0.0000 3.6646 0.0000
0.0000 0.0000 5.8273
V Co I N
1 1 1 2
Cartesian
0.0000 0.0000 0.0000 V
1.8323 1.8323 2.9137 Co
1.8323 1.8323 0.0000 I
0.0000 1.8323 2.9137 N
1.8323 0.0000 2.9137 N

## two
VCoIN2 PBE optimized geometry; density = 5.3 g cm⁻³; magnetic moment = 2.2 μB/f.u.; space-group type = P4/mmm, No. 123
1.0
3.7553 0.0000 0.0000
0.0000 3.7553 0.0000
0.0000 0.0000 5.8423
V Co I N
1 1 1 2
Cartesian
0.0000 0.0000 0.0000 V
1.8777 1.8777 2.9211 Co
0.0000 0.0000 2.9211 I
0.0000 1.8777 0.0000 N
1.8777 0.0000 0.0000 N

Most stable structure: two

## one
CoWI2N PBE optimized geometry; density = 7.2 g cm⁻³; magnetic moment = 2.5 μB/f.u.; space-group type = P4/mmm, No. 123
1.0
5.5650 0.0000 0.0000
0.0000 5.5650 0.0000
0.0000 0.0000 3.8202
Co W I N
1 1 2 1
Cartesian
0.0000 0.0000 0.0000 Co
2.7825 2.7825 1.9101 W
0.0000 2.7825 1.9101 I
2.7825 0.0000 1.9101 I
2.7825 2.7825 0.0000 N

## two
CoWI2N PBE optimized geometry; density = 8.8 g cm⁻³; magnetic moment = 2.5 μB/f.u.; space-group type = P4/mmm, No. 123
1.0
5.3250 0.0000 0.0000
0.0000 5.3250 0.0000
0.0000 0.0000 3.4146
Co W I N
1 1 2 1
Cartesian
0.0000 0.0000 0.0000 Co
2.6625 2.6625 1.7073 W
0.0000 2.6625 0.0000 I
2.6625 0.0000 0.0000 I
0.0000 0.0000 1.7073 N

Most stable structure: one

## one
CoWIN2 PBE optimized geometry; density = 8.7 g cm⁻³; magnetic moment = 0.2 μB/f.u.; space-group type = P4/mmm, No. 123
1.0
3.8685 0.0000 0.0000
0.0000 3.8685 0.0000
0.0000 0.0000 5.0691
Co W I N
1 1 1 2
Cartesian
0.0000 0.0000 0.0000 Co
1.9343 1.9343 2.5346 W
0.0000 0.0000 2.5346 I
0.0000 1.9343 0.0000 N
1.9343 0.0000 0.0000 N

## two
CoWIN2 PBE optimized geometry; density = 7.3 g cm⁻³; magnetic moment = 2.1 μB/f.u.; space-group type = P4/mmm, No. 123
1.0
3.8979 0.0000 0.0000
0.0000 3.8979 0.0000
0.0000 0.0000 5.9265
Co W I N
1 1 1 2
Cartesian
0.0000 0.0000 0.0000 Co
1.9489 1.9489 2.9633 W
1.9489 1.9489 0.0000 I
0.0000 1.9489 2.9633 N
1.9489 0.0000 2.9633 N

Most stable structure: two

## one
YCoI2N PBE optimized geometry; density = 4.5 g cm⁻³; magnetic moment = 2.5 μB/f.u.; space-group type = P4/mmm, No. 123
1.0
6.1352 0.0000 0.0000
0.0000 6.1352 0.0000
0.0000 0.0000 4.0996
Y Co I N
1 1 2 1
Cartesian
0.0000 0.0000 0.0000 Y
3.0676 3.0676 2.0498 Co
0.0000 3.0676 0.0000 I
3.0676 0.0000 0.0000 I
0.0000 0.0000 2.0498 N

## two
YCoI2N PBE optimized geometry; density = 6.3 g cm⁻³; magnetic moment = 0.0 μB/f.u.; space-group type = P4/mmm, No. 123
1.0
5.5727 0.0000 0.0000
0.0000 5.5727 0.0000
0.0000 0.0000 3.5528
Y Co I N
1 1 2 1
Cartesian
0.0000 0.0000 0.0000 Y
2.7863 2.7863 1.7764 Co
0.0000 2.7863 1.7764 I
2.7863 0.0000 1.7764 I
2.7863 2.7863 0.0000 N

Most stable structure: two

## one
ZrCoI2N PBE optimized geometry; density = 6.7 g cm⁻³; magnetic moment = 1.4 μB/f.u.; space-group type = P4/mmm, No. 123
1.0
5.4572 0.0000 0.0000
0.0000 5.4572 0.0000
0.0000 0.0000 3.4861
Zr Co I N
1 1 2 1
Cartesian
0.0000 0.0000 0.0000 Zr
2.7286 2.7286 1.7431 Co
0.0000 2.7286 1.7431 I
2.7286 0.0000 1.7431 I
2.7286 2.7286 0.0000 N

## two
ZrCoI2N PBE optimized geometry; density = 5.0 g cm⁻³; magnetic moment = 2.3 μB/f.u.; space-group type = P4/mmm, No. 123
1.0
5.9188 0.0000 0.0000
0.0000 5.9188 0.0000
0.0000 0.0000 3.9932
Zr Co I N
1 1 2 1
Cartesian
0.0000 0.0000 0.0000 Zr
2.9594 2.9594 1.9966 Co
0.0000 2.9594 0.0000 I
2.9594 0.0000 0.0000 I
0.0000 0.0000 1.9966 N

Most stable structure: one

## one
ZrCoIN2 PBE optimized geometry; density = 4.8 g cm⁻³; magnetic moment = 2.6 μB/f.u.; space-group type = P4/mmm, No. 123
1.0
4.1200 0.0000 0.0000
0.0000 4.1200 0.0000
0.0000 0.0000 6.2330
Zr Co I N
1 1 1 2
Cartesian
0.0000 0.0000 0.0000 Zr
2.0600 2.0600 3.1165 Co
0.0000 0.0000 3.1165 I
0.0000 2.0600 0.0000 N
2.0600 0.0000 0.0000 N

## two
ZrCoIN2 PBE optimized geometry; density = 6.6 g cm⁻³; magnetic moment = 2.0 μB/f.u.; space-group type = P4/mmm, No. 123
1.0
3.9744 0.0000 0.0000
0.0000 3.9744 0.0000
0.0000 0.0000 4.8246
Zr Co I N
1 1 1 2
Cartesian
0.0000 0.0000 0.0000 Zr
1.9872 1.9872 2.4123 Co
1.9872 1.9872 0.0000 I
0.0000 1.9872 2.4123 N
1.9872 0.0000 2.4123 N

Most stable structure: one

## one
NaCo2I PBE optimized geometry; density = 5.4 g cm⁻³; magnetic moment = 2.6 μB/f.u.; space-group type = I-42d, No. 122
1.0
-3.8195 3.8195 2.8229
3.8195 -3.8195 2.8229
3.8195 3.8195 -2.8229
Na Co I
2 4 2
Cartesian
0.0000 0.0000 0.0000 Na
0.0000 3.8195 1.4115 Na
1.9097 -1.4600 2.1172 Co
2.3595 1.9097 0.7057 Co
1.9097 5.2795 -0.7057 Co
1.4600 1.9097 3.5287 Co
3.8195 0.0000 1.4115 I
0.0000 0.0000 2.8229 I

## two
NaCo2I PBE optimized geometry; density = 7.1 g cm⁻³; magnetic moment = 2.1 μB/f.u.; space-group type = Fm-3m, No. 225
1.0
0.0000 3.1574 3.1574
3.1574 0.0000 3.1574
3.1574 3.1574 0.0000
Na Co I
1 2 1
Cartesian
0.0000 0.0000 0.0000 Na
1.5787 1.5787 1.5787 Co
4.7361 4.7361 4.7361 Co
3.1574 3.1574 3.1574 I

Most stable structure: two

## one
NaCoI2 PBE optimized geometry; density = 5.2 g cm⁻³; magnetic moment = 2.0 μB/f.u.; space-group type = Fm-3m, No. 225
1.0
0.0000 3.7743 3.7743
3.7743 0.0000 3.7743
3.7743 3.7743 0.0000
Na Co I
1 1 2
Cartesian
0.0000 0.0000 0.0000 Na
3.7743 3.7743 3.7743 Co
1.8871 1.8871 1.8871 I
5.6614 5.6614 5.6614 I

## two
NaCoI2 PBE optimized geometry; density = 4.0 g cm⁻³; magnetic moment = 2.0 μB/f.u.; space-group type = I-42d, No. 122
1.0
-3.3979 3.3979 5.9677
3.3979 -3.3979 5.9677
3.3979 3.3979 -5.9677
Na Co I
2 2 4
Cartesian
0.0000 0.0000 0.0000 Na
0.0000 3.3979 2.9838 Na
3.3979 0.0000 2.9838 Co
0.0000 0.0000 5.9677 Co
1.6990 -1.2765 4.4758 I
2.1214 1.6990 1.4919 I
1.6990 4.6744 -1.4919 I
1.2765 1.6990 7.4596 I

## three
NaCoI2 PBE optimized geometry; density = 4.2 g cm⁻³; magnetic moment = 2.1 μB/f.u.; space-group type = R-3m, No. 166
1.0
2.0746 1.1978 8.8051
-2.0746 1.1978 8.8051
0.0000 -2.3955 8.8051
Na Co I
1 1 2
Cartesian
0.0000 0.0000 0.0000 Na
0.0000 0.0000 13.2077 Co
0.0000 0.0000 2.9469 I
0.0000 0.0000 23.4684 I

Most stable structure: two

## one
Na2CoI PBE optimized geometry; density = 2.9 g cm⁻³; magnetic moment = 2.0 μB/f.u.; space-group type = I-42d, No. 122
1.0
-4.0740 4.0740 4.0627
4.0740 -4.0740 4.0627
4.0740 4.0740 -4.0627
Na Co I
4 2 2
Cartesian
2.0370 1.9795 -1.0157 Na
2.0945 -2.0370 5.0783 Na
2.0370 2.0945 3.0470 Na
1.9795 6.1110 1.0157 Na
0.0000 0.0000 0.0000 Co
0.0000 4.0740 2.0313 Co
4.0740 0.0000 2.0313 I
0.0000 0.0000 4.0627 I

## two
Na2CoI PBE optimized geometry; density = 3.4 g cm⁻³; magnetic moment = 2.0 μB/f.u.; space-group type = Fm-3m, No. 225
1.0
0.0000 3.8346 3.8346
3.8346 0.0000 3.8346
3.8346 3.8346 0.0000
Na Co I
2 1 1
Cartesian
1.9173 1.9173 1.9173 Na
5.7518 5.7518 5.7518 Na
0.0000 0.0000 0.0000 Co
3.8346 3.8346 3.8346 I

Most stable structure: two

## one
NaCoTeI2 PBE optimized geometry; density = 4.9 g cm⁻³; magnetic moment = 1.3 μB/f.u.; space-group type = P4/mmm, No. 123
1.0
5.6664 0.0000 0.0000
0.0000 5.6664 0.0000
0.0000 0.0000 4.8724
Na Co Te I
1 1 1 2
Cartesian
0.0000 0.0000 0.0000 Na
2.8332 2.8332 2.4362 Co
2.8332 2.8332 0.0000 Te
0.0000 2.8332 2.4362 I
2.8332 0.0000 2.4362 I

## two
NaCoTeI2 PBE optimized geometry; density = 4.1 g cm⁻³; magnetic moment = 2.8 μB/f.u.; space-group type = P4/mmm, No. 123
1.0
5.7277 0.0000 0.0000
0.0000 5.7277 0.0000
0.0000 0.0000 5.7389
Na Co Te I
1 1 1 2
Cartesian
0.0000 0.0000 0.0000 Na
2.8638 2.8638 2.8694 Co
0.0000 0.0000 2.8694 Te
0.0000 2.8638 0.0000 I
2.8638 0.0000 0.0000 I

Most stable structure: one

## one
NbCo3I PBE optimized geometry; density = 6.9 g cm⁻³; magnetic moment = 1.0 μB/f.u.; space-group type = Pm-3m, No. 221
1.0
4.5779 0.0000 0.0000
0.0000 4.5779 0.0000
0.0000 0.0000 4.5779
Nb Co I
1 3 1
Cartesian
0.0000 0.0000 0.0000 Nb
0.0000 0.0000 2.2890 Co
0.0000 2.2890 0.0000 Co
2.2890 0.0000 0.0000 Co
2.2890 2.2890 2.2890 I

## two
NbCo3I PBE optimized geometry; density = 7.2 g cm⁻³; magnetic moment = 4.1 μB/f.u.; space-group type = Pm-3m, No. 221
1.0
4.5120 0.0000 0.0000
0.0000 4.5120 0.0000
0.0000 0.0000 4.5120
Nb Co I
1 3 1
Cartesian
0.0000 0.0000 0.0000 Nb
0.0000 2.2560 2.2560 Co
2.2560 0.0000 2.2560 Co
2.2560 2.2560 0.0000 Co
2.2560 2.2560 2.2560 I

Most stable structure: one